The following is a GGA-PBE calculation of a relaxed structure of SrLi2Cu2, from Alexandria via LeMat-Bulk.

Its density of states at the Fermi level is 3.40 states/eV/cell. The polymorph energy (0 for the lowest one) comes out at 0 meV per atom. Its magnetization is 0.000 μB/atom. The total energy comes out at -2.77 eV per atom.

The space group is C2/m (No. 12) and the conventional cell measures 10.813, 4.271 and 5.074 Å, with angles of 90.00, 107.14 and 90.00 degrees. The asymmetric unit holds Sr at (0.000, 0.000, 0.000), Li at (0.168, 0.500, 0.574) and Cu at (0.233, 0.500, 0.105).